Computed, not measured: a relaxed structure of TcBiPd2Cl at the PBE-GGA level of DFT.

Computed properties:
E: -4.673 eV per atom

Lattice parameters (Å, degrees): 5.0567 5.0567 4.3308 90.00 90.00 90.00
Closest atoms and distances in Å follow each position.
Element x y z (fractional)
Cl  0.0000  0.0000  0.5000  2 Tc 2.17
Bi  0.5000  0.5000  0.5000  8 Pd 3.33, 4 Cl 3.58
Pd  0.0000  0.5000  0.0000  2 Tc 2.53
Pd  0.5000  0.0000  0.0000  2 Tc 2.53
Tc  0.0000  0.0000  0.0000  2 Cl 2.17

---

Computed, not measured: a relaxed structure of PmBiCl at the PBE-GGA level of DFT.

Computed properties:
Distance to the lowest polymorph of the same formula: 0 meV/atom
E: -4.652 eV per atom

Lattice parameters (Å, degrees): 3.5069 3.5069 8.1239 102.46 102.46 90.00
Closest atoms and distances in Å follow each position.
Element x y z (fractional)
Cl  0.2871  0.2871  0.5743  4 Pm 2.95
Bi  0.0287  0.0287  0.0575  4 Pm 3.45, 4 Bi 3.51
Pm  0.6841  0.6841  0.3682  4 Cl 2.95

---

Computed, not measured: a relaxed structure of Pm3BiCl at the PBE-GGA level of DFT.

Computed properties:
E: -4.622 eV per atom

Lattice parameters (Å, degrees): 5.3162 5.3162 5.3162 90.00 90.00 90.00
Closest atoms and distances in Å follow each position.
Element x y z (fractional)
Cl  0.0000  0.0000  0.0000  6 Pm 2.66
Bi  0.5000  0.5000  0.5000  12 Pm 3.76
Pm  0.0000  0.5000  0.0000  2 Cl 2.66
Pm  0.0000  0.0000  0.5000  2 Cl 2.66
Pm  0.5000  0.0000  0.0000  2 Cl 2.66

---

Computed, not measured: a relaxed structure of Pm2BiCl2 at the PBE-GGA level of DFT.

Computed properties:
E: -4.958 eV per atom

Lattice parameters (Å, degrees): 4.3309 4.3309 10.6598 78.28 78.28 60.00
Closest atoms and distances in Å follow each position.
Element x y z (fractional)
Pm  0.6060  0.6060  0.1820  3 Cl 2.93, 3 Bi 3.13
Pm  0.3940  0.3940  0.8180  3 Cl 2.93, 3 Bi 3.13
Bi  0.0000  0.0000  0.0000  6 Pm 3.13
Cl  0.2234  0.2234  0.3299  3 Pm 2.93
Cl  0.7766  0.7766  0.6701  3 Pm 2.93

---

Computed, not measured: a relaxed structure of Pm6Bi5Cl at the PBE-GGA level of DFT.

Computed properties:
E: -5.158 eV per atom

Lattice parameters (Å, degrees): 7.8506 7.8636 7.8478 59.93 80.37 70.49
Closest atoms and distances in Å follow each position.
Element x y z (fractional)
Cl  0.0000  0.0000  0.0000  6 Pm 3.23-3.26
Bi  0.5000  0.1672  0.6656  6 Pm 3.18-3.22
Bi  0.0000  0.3337  0.3326  6 Pm 3.20-3.21
Bi  0.5000  0.5000  0.0000  6 Pm 3.15-3.21
Bi  0.0000  0.6663  0.6674  6 Pm 3.20-3.21
Bi  0.5000  0.8328  0.3344  6 Pm 3.18-3.22
Pm  0.7497  0.0832  0.3368  5 Bi 3.18-3.22, 1 Cl 3.23
Pm  0.2503  0.5801  0.3368  5 Bi 3.18-3.22, 1 Cl 3.23
Pm  0.2556  0.2530  0.0000  5 Bi 3.15-3.21, 1 Cl 3.26
Pm  0.7444  0.7470  0.0000  5 Bi 3.15-3.21, 1 Cl 3.26
Pm  0.7497  0.4199  0.6632  5 Bi 3.18-3.22, 1 Cl 3.23
Pm  0.2503  0.9168  0.6632  5 Bi 3.18-3.22, 1 Cl 3.23

---

Computed, not measured: a relaxed structure of Pm4Bi2Cl at the PBE-GGA level of DFT.

Computed properties:
E: -4.812 eV per atom

Lattice parameters (Å, degrees): 5.1683 5.1683 9.1164 106.47 106.47 90.00
Closest atoms and distances in Å follow each position.
Element x y z (fractional)
Cl  0.0000  0.0000  0.0000  6 Pm 2.58-2.85
Bi  0.6375  0.6375  0.2750  5 Pm 3.21-3.46
Bi  0.3625  0.3625  0.7250  5 Pm 3.21-3.46
Pm  0.8295  0.8295  0.6589  1 Cl 2.85
Pm  0.1705  0.1705  0.3411  1 Cl 2.85
Pm  0.0000  0.5000  0.0000  2 Cl 2.58
Pm  0.5000  0.0000  0.0000  2 Cl 2.58

---

Computed, not measured: a relaxed structure of PmBiCl at the PBE-GGA level of DFT.

Computed properties:
Distance to the lowest polymorph of the same formula: 139 meV/atom
E: -4.514 eV per atom

Lattice parameters (Å, degrees): 5.6023 3.6029 9.1903 78.70 90.00 90.00
Closest atoms and distances in Å follow each position.
Element x y z (fractional)
Cl  0.7500  0.6805  0.6390  4 Pm 2.81-2.90
Cl  0.2500  0.3195  0.3610  4 Pm 2.81-2.90
Bi  0.2500  0.0387  0.9227  2 Bi 3.13, 2 Pm 3.32
Bi  0.7500  0.9613  0.0773  2 Bi 3.13, 2 Pm 3.32
Pm  0.2500  0.6933  0.6133  4 Cl 2.81-2.90
Pm  0.7500  0.3067  0.3867  4 Cl 2.81-2.90

---

Computed, not measured: a relaxed structure of PmBiCl at the PBE-GGA level of DFT.

Computed properties:
Distance to the lowest polymorph of the same formula: 93 meV/atom
E: -4.560 eV per atom

Lattice parameters (Å, degrees): 3.8304 5.0323 5.0323 120.00 90.00 90.00
Closest atoms and distances in Å follow each position.
Element x y z (fractional)
Cl  0.1664  0.3333  0.6667  3 Pm 2.91
Bi  0.6668  0.6667  0.3333  6 Cl 3.48, 6 Pm 3.48, 2 Bi 3.83
Pm  0.1668  0.0000  0.0000  3 Cl 2.91

---

Computed, not measured: a relaxed structure of PmPrBiCl at the PBE-GGA level of DFT.

Computed properties:
E: -4.878 eV per atom

Lattice parameters (Å, degrees): 5.4225 5.4225 5.4225 60.00 60.00 60.00
Closest atoms and distances in Å follow each position.
Element x y z (fractional)
Pr  0.0000  0.0000  0.0000  4 Cl 3.32, 4 Bi 3.32
Cl  0.2500  0.2500  0.2500  4 Pr 3.32, 4 Pm 3.32
Bi  0.7500  0.7500  0.7500  4 Pr 3.32, 4 Pm 3.32
Pm  0.5000  0.5000  0.5000  4 Cl 3.32, 4 Bi 3.32

---

Computed, not measured: a relaxed structure of PmPuBiCl at the PBE-GGA level of DFT.

Computed properties:
E: -7.046 eV per atom

Lattice parameters (Å, degrees): 5.4021 5.4021 5.4021 60.00 60.00 60.00
Closest atoms and distances in Å follow each position.
Element x y z (fractional)
Cl  0.2500  0.2500  0.2500  4 Pm 3.31, 4 Pu 3.31
Pm  0.0000  0.0000  0.0000  4 Cl 3.31, 4 Bi 3.31
Bi  0.7500  0.7500  0.7500  4 Pu 3.31, 4 Pm 3.31
Pu  0.5000  0.5000  0.5000  4 Bi 3.31, 4 Cl 3.31

---

Computed, not measured: a relaxed structure of PrBiCl at the PBE-GGA level of DFT.

Computed properties:
Distance to the lowest polymorph of the same formula: 274 meV/atom
E: -4.587 eV per atom

Lattice parameters (Å, degrees): 3.8806 5.0868 5.0868 120.00 90.00 90.00
Closest atoms and distances in Å follow each position.
Element x y z (fractional)
Pr  0.1668  0.0000  0.0000  3 Cl 2.94
Bi  0.6668  0.6667  0.3333  6 Cl 3.52, 6 Pr 3.52, 2 Bi 3.88
Cl  0.1664  0.3333  0.6667  3 Pr 2.94

---

Computed, not measured: a relaxed structure of Pr2BiCl at the PBE-GGA level of DFT.

Computed properties:
Distance to the lowest polymorph of the same formula: 0 meV/atom
E: -4.971 eV per atom

Lattice parameters (Å, degrees): 4.4881 4.4881 7.3604 72.25 72.25 60.00
Closest atoms and distances in Å follow each position.
Element x y z (fractional)
Pr  0.2600  0.2600  0.2199  3 Cl 3.00, 3 Bi 3.23
Pr  0.7400  0.7400  0.7801  3 Cl 3.00, 3 Bi 3.23
Bi  0.5000  0.5000  0.5000  6 Pr 3.23
Cl  0.0000  0.0000  0.0000  6 Pr 3.00

---

Computed, not measured: a relaxed structure of Pr2BiCl at the PBE-GGA level of DFT.

Computed properties:
Distance to the lowest polymorph of the same formula: 91 meV/atom
E: -4.880 eV per atom

Lattice parameters (Å, degrees): 4.3322 4.3322 8.1892 74.66 74.66 60.00
Closest atoms and distances in Å follow each position.
Element x y z (fractional)
Pr  0.0824  0.0824  0.7528  3 Bi 3.15, 3 Cl 3.16
Pr  0.2515  0.2515  0.2455  3 Bi 3.16, 3 Cl 3.21
Bi  0.6675  0.6675  0.9974  6 Pr 3.15-3.16
Cl  0.4986  0.4986  0.5043  6 Pr 3.16-3.21

---

Formation energy (no corrections) per entry: 0.623, -1.159, -0.627, -1.543, -1.012, -0.725, -1.021, -1.067, -1.063, -0.844, -1.085, -1.149, -1.058 eV per atom